Record 1
A relaxed PmGd2Mg crystal, computed with GGA-PBE.

Calculated values
* total magnetization: 15.2 μB/f.u.
* final energy: -8.5772 eV per atom
* offset from the most stable computed form: 85 meV/atom
* ΔH_f (0 K): 1.1 kcal/mol of atoms
* space-group type: Fm-3m, No. 225

Structure (POSCAR):
```
PmGd2Mg
1.0
5.563 0.000 0.000
2.782 4.818 0.000
2.782 1.606 4.542
Mg Pm Gd
1 1 2
Direct
0.500 0.500 0.500
0.000 0.000 0.000
0.250 0.250 0.250
0.750 0.750 0.750
```

Record 2
A relaxed PmGd2Mg crystal, computed with GGA-PBE.

Calculated values
* total magnetization: 15.5 μB/f.u.
* final energy: -8.6327 eV per atom
* offset from the most stable computed form: 30 meV/atom
* ΔH_f (0 K): -0.1 kcal/mol of atoms
* space-group type: P4/mmm, No. 123

Structure (POSCAR):
```
PmGd2Mg
1.0
-3.284 -3.466 -1.427
1.052 -2.665 4.054
-3.582 2.371 2.488
Mg Gd Pm
1 2 1
Direct
0.500 0.000 0.000
0.000 0.000 0.500
0.000 0.500 0.000
0.500 0.500 0.500
```

Record 3
A relaxed PmGdMg2 crystal, computed with GGA-PBE.

Calculated values
* total magnetization: 7.7 μB/f.u.
* final energy: -5.6134 eV per atom
* offset from the most stable computed form: 0 meV/atom
* ΔH_f (0 K): -2.5 kcal/mol of atoms
* space-group type: Fm-3m, No. 225

Structure (POSCAR):
```
PmGdMg2
1.0
5.433 0.000 0.000
2.717 4.705 0.000
2.717 1.568 4.436
Mg Pm Gd
2 1 1
Direct
0.750 0.750 0.750
0.250 0.250 0.250
0.000 0.000 0.000
0.500 0.500 0.500
```

- What is the formula in the first record?
  PmGd2Mg

Copy entry 2 word for word.
A relaxed PmGd2Mg crystal, computed with GGA-PBE.

Calculated values
* total magnetization: 15.5 μB/f.u.
* final energy: -8.6327 eV per atom
* offset from the most stable computed form: 30 meV/atom
* ΔH_f (0 K): -0.1 kcal/mol of atoms
* space-group type: P4/mmm, No. 123

Structure (POSCAR):
```
PmGd2Mg
1.0
-3.284 -3.466 -1.427
1.052 -2.665 4.054
-3.582 2.371 2.488
Mg Gd Pm
1 2 1
Direct
0.500 0.000 0.000
0.000 0.000 0.500
0.000 0.500 0.000
0.500 0.500 0.500
```